No. 1
The following is a GGA-PBE calculation of a relaxed HoPaCu2 crystal, from Alexandria.

The value obtained for the density is 10.288 g/cm3. The value obtained for the distance to the lowest polymorph of the same formula is 0.794 eV per formula unit. The crystal system is trigonal. As for the energy relative to the elements: 0.183 eV/atom. Its magnetization is 0.00 μB per formula unit.

Cell: 3.3317 3.3317 26.3455 Å, 90.00 90.00 120.00°
Space group R-3m (No. 166, hexagonal axes)
One atom of each set of equivalent atoms:
Ho  0.0000  0.0000  0.0000 x3
Pa  0.0000  0.0000  0.5000 x3
Cu  0.0000  0.0000  0.2517 x6

=====

No. 2
The following is a GGA-PBE calculation of a relaxed Sr3CeY2Te6 crystal, from Alexandria.

The value obtained for the density is 5.539 g/cm3. The crystal system is monoclinic. The formation energy (no corrections) is -18.0 eV/f.u. Its magnetization is 1.52 μB per formula unit.

Cell: 7.840 13.567 8.028 Å, 90.00 109.00 90.00°
Space group C2/m (No. 12)
One atom of each set of equivalent atoms:
Sr  0.000  0.000  0.000 x2
Sr  0.000  0.336  0.000 x4
Ce  0.000  0.500  0.500 x2
Y  0.000  0.167  0.500 x4
Te  0.237  0.000  0.733 x4
Te  0.249  0.330  0.736 x8

=====

Number 1 is which compound? HoPaCu2

=====

density of number 2 (Sr3CeY2Te6)? 5.539 g/cm3

=====

Repeat the second record exactly.
The following is a GGA-PBE calculation of a relaxed Sr3CeY2Te6 crystal, from Alexandria.

The value obtained for the density is 5.539 g/cm3. The crystal system is monoclinic. The formation energy (no corrections) is -18.0 eV/f.u. Its magnetization is 1.52 μB per formula unit.

Cell: 7.840 13.567 8.028 Å, 90.00 109.00 90.00°
Space group C2/m (No. 12)
One atom of each set of equivalent atoms:
Sr  0.000  0.000  0.000 x2
Sr  0.000  0.336  0.000 x4
Ce  0.000  0.500  0.500 x2
Y  0.000  0.167  0.500 x4
Te  0.237  0.000  0.733 x4
Te  0.249  0.330  0.736 x8

=====

Which value of magnetization does entry 1 give? 0.00 μB per formula unit